The following is a DFT calculation (PBE) of AcTb2Ge after structural relaxation.

abc: 3.787 3.787 8.385
angles: 90.00 90.00 90.00
Sites, in units of the cell vectors:
1 Ac 0.500 0.500 0.500
2 Tb 0.000 0.000 0.814
3 Tb 0.000 0.000 0.186
4 Ge 0.500 0.500 0.000

Summary:
SG: P4/mmm, No. 123
crystal system: tetragonal

The following is a DFT calculation (PBE) of AcTbGe2 after structural relaxation.

abc: 3.441 5.544 5.544
angles: 90.00 90.00 90.00
Sites, in units of the cell vectors:
1 Ge 0.000 0.000 0.500
2 Ge 0.000 0.500 0.000
3 Ac 0.500 0.500 0.500
4 Tb 0.500 0.000 0.000

Summary:
SG: P4/mmm, No. 123
crystal system: tetragonal

The following is a DFT calculation (PBE) of Ac5TbGe4 after structural relaxation.

abc: 4.555 8.318 10.655
angles: 113.03 102.34 90.00
Sites, in units of the cell vectors:
1 Ac 0.838 0.589 0.676
2 Ac 0.162 0.411 0.324
3 Ac 0.500 0.500 0.000
4 Ac 0.838 0.090 0.677
5 Ac 0.162 0.910 0.323
6 Ge 0.000 0.768 0.000
7 Ge 0.000 0.232 0.000
8 Ge 0.306 0.807 0.612
9 Ge 0.694 0.193 0.388
10 Tb 0.500 0.000 0.000

Summary:
SG: C2/m, No. 12
crystal system: monoclinic

The following is a DFT calculation (PBE) of Ac2TbGe after structural relaxation.

abc: 4.165 4.165 11.299
angles: 79.38 79.38 60.00
Sites, in units of the cell vectors:
1 Tb 0.000 0.000 0.000
2 Ge 0.500 0.500 0.500
3 Ac 0.110 0.110 0.671
4 Ac 0.890 0.890 0.329

Summary:
SG: R-3m, No. 166
crystal system: trigonal

| no. | E_form (eV/atom) | VASP energy (eV per atom) |
| --- | --- | --- |
| 1 | -0.293 | -4.789 |
| 2 | -0.502 | -4.996 |
| 3 | -0.517 | -4.881 |
| 4 | 0.111 | -4.255 |